[1]
Fe2AgCl: relaxed, PBE.

Results
- E_form (uncorrected): 0.250 eV per atom
- Energy relative to the lowest polymorph listed for this composition: 90.1 meV/atom
- DOS(E_F): 2.49 states/eV per cell

Cell lengths 4.9305, 4.9305, 7.6369 Å; angles 52.16, 52.16, 34.66 degrees
Site moments in Bohr magnetons follow the coordinates.
Element x y z (fractional)
Cl1 0.2500 0.2500 0.2500  0.06
Fe1 0.9430 0.9430 0.9037  2.87
Fe2 0.5570 0.5570 0.5963  2.87
Ag1 0.7500 0.7500 0.7500  0.03

[2]
RePbCS2: relaxed, PBE.

Results
- E_form (uncorrected): 2.674 eV per atom
- DOS(E_F): 6.15 states/eV per cell

Cell lengths 5.1198, 4.1783, 5.1198 Å; angles 90.00, 90.00, 90.00 degrees
Site moments in Bohr magnetons follow the coordinates.
Element x y z (fractional)
S1 0.5000 0.0000 0.0000  0.05
S2 0.0000 0.0000 0.5000  0.05
Re1 0.5000 0.5000 0.5000  0.31
Pb1 0.0000 0.0000 0.0000  0.02
C1 0.0000 0.5000 0.0000  0.64

[3]
Dy6Er12Th: relaxed, PBE.

Results
- Energy of formation: 0.22 eV per atom
- Energy relative to the lowest polymorph listed for this composition: 72.6 meV/atom
- DOS(E_F): 35.23 states/eV per cell

Cell lengths 8.6406, 8.6406, 8.6406 Å; angles 99.81, 99.81, 99.81 degrees
Element x y z (fractional)
Er1 0.0767 0.3466 0.3466
Er2 0.6534 0.6534 0.9233
Er3 0.3466 0.3466 0.0767
Er4 0.7564 0.5000 0.2436
Er5 0.5000 0.2436 0.7564
Er6 0.2436 0.5000 0.7564
Er7 0.3466 0.0767 0.3466
Er8 0.9233 0.6534 0.6534
Er9 0.5000 0.7564 0.2436
Er10 0.6534 0.9233 0.6534
Er11 0.7564 0.2436 0.5000
Er12 0.2436 0.7564 0.5000
Dy1 0.1064 0.1064 0.6633
Dy2 0.3367 0.8936 0.8936
Dy3 0.8936 0.8936 0.3367
Dy4 0.1064 0.6633 0.1064
Dy5 0.8936 0.3367 0.8936
Dy6 0.6633 0.1064 0.1064
Th1 0.0000 0.0000 0.0000

[4]
AcNbSb2: relaxed, PBE.

Results
- E_form (uncorrected): -0.389 eV per atom
- Energy relative to the lowest polymorph listed for this composition: 0.0 meV/atom
- DOS(E_F): 3.19 states/eV per cell

Cell lengths 3.6165, 3.6165, 7.9396 Å; angles 90.00, 90.00, 90.00 degrees
Element x y z (fractional)
Nb1 0.5000 0.5000 0.0000
Sb1 0.0000 0.0000 0.8002
Sb2 0.0000 0.0000 0.1998
Ac1 0.5000 0.5000 0.5000

[5]
ErPuTe2S: relaxed, PBE.

Results
- E_form (uncorrected): -1.298 eV per atom
- DOS(E_F): 16.56 states/eV per cell

Cell lengths 4.3658, 4.3658, 15.4641 Å; angles 90.00, 90.00, 90.00 degrees
Site moments in Bohr magnetons follow the coordinates.
Element x y z (fractional)
Er1 0.5000 0.0000 0.1115  0.00
Er2 0.0000 0.5000 0.8885  0.00
S1 0.5000 0.5000 0.5000  -0.19
S2 0.0000 0.0000 0.5000  -0.19
Te1 0.0000 0.5000 0.0939  0.00
Te2 0.0000 0.5000 0.7001  -0.07
Te3 0.5000 0.0000 0.2999  -0.07
Te4 0.5000 0.0000 0.9061  0.00
Pu1 0.5000 0.0000 0.6031  5.02
Pu2 0.0000 0.5000 0.3969  5.02

[6]
La6CoRu2I3: relaxed, PBE.

Results
- E_form (uncorrected): -0.746 eV per atom
- DOS(E_F): 7.32 states/eV per cell

Cell lengths 7.2447, 7.2447, 8.6099 Å; angles 98.07, 98.07, 120.00 degrees
Element x y z (fractional)
I1 0.1680 0.8320 0.5000
I2 0.8320 0.1680 0.5000
I3 0.5000 0.5000 0.5000
La1 0.3921 0.0613 0.1838
La2 0.2696 0.2696 0.8159
La3 0.6079 0.9387 0.8162
La4 0.7304 0.7304 0.1841
La5 0.9387 0.6079 0.8162
La6 0.0613 0.3921 0.1838
Ru1 0.6665 0.3335 0.0000
Ru2 0.3335 0.6665 0.0000
Co1 0.0000 0.0000 0.0000

[7]
Nd4Eu2Co: relaxed, PBE.

Results
- Energy of formation: 0.18 eV per atom
- DOS(E_F): 9.67 states/eV per cell

Cell lengths 5.3697, 5.3697, 9.8929 Å; angles 74.25, 74.25, 90.00 degrees
Site moments in Bohr magnetons follow the coordinates.
Element x y z (fractional)
Nd1 0.0000 0.5000 0.0000  0.03
Nd2 0.5000 0.0000 0.0000  0.03
Nd3 0.1493 0.1493 0.7013  0.15
Nd4 0.8507 0.8507 0.2987  0.15
Co1 0.0000 0.0000 0.0000  0.06
Eu1 0.6538 0.6538 0.6924  6.95
Eu2 0.3462 0.3462 0.3076  6.95

[8]
DyHo2In2: relaxed, PBE.

Results
- Energy of formation: -0.38 eV per atom
- Energy relative to the lowest polymorph listed for this composition: 0.0 meV/atom
- DOS(E_F): 8.42 states/eV per cell

Cell lengths 3.7306, 5.3291, 13.9495 Å; angles 90.00, 97.70, 90.00 degrees
Element x y z (fractional)
In1 0.3574 0.2500 0.7134
In2 0.5501 0.2500 0.1000
In3 0.6426 0.7500 0.2866
In4 0.4499 0.7500 0.9000
Ho1 0.9522 0.2500 0.9045
Ho2 0.0478 0.7500 0.0955
Ho3 0.7629 0.2500 0.5258
Ho4 0.2371 0.7500 0.4742
Dy1 0.8515 0.7500 0.7012
Dy2 0.1485 0.2500 0.2988

- Which formula does entry 7 have?
  Nd4Eu2Co